(1)
A geometry-optimized HfNiPtPb structure. Source: OQMD via LeMat-Bulk, functional PBE.

Computed properties:
The mass density comes out at 14.9 g cm⁻³. The calculation puts the spin magnetization at 0.0 μB per cell. Its symmetry is F-43m, No. 216.

Geometry as extended XYZ:
```
4
Lattice="0.000 3.294 3.294 3.294 0.000 3.294 3.294 3.294 0.000" Properties=species:S:1:pos:R:3 pbc="T T T"
Hf 0.000 0.000 0.000
Ni 3.294 3.294 3.294
Pt 4.941 4.941 4.941
Pb 1.647 1.647 1.647
```


(2)
A geometry-optimized HfNiPtPb structure. Source: OQMD via LeMat-Bulk, functional PBE.

Computed properties:
The mass density comes out at 14.8 g cm⁻³. The calculation puts the spin magnetization at 0.0 μB per cell. Its symmetry is F-43m, No. 216.

Geometry as extended XYZ:
```
4
Lattice="0.000 3.295 3.295 3.295 0.000 3.295 3.295 3.295 0.000" Properties=species:S:1:pos:R:3 pbc="T T T"
Hf 0.000 0.000 0.000
Ni 4.943 4.943 4.943
Pt 1.648 1.648 1.648
Pb 3.295 3.295 3.295
```


Of them, (1) has the lowest stability.